Record 1
The following is a PBE calculation of crystalline KPtAu3 at its relaxed geometry, from the Alexandria database. Values from VASP.

Computed properties:
DOS at the Fermi energy, states/eV/atom: 0.543
Electronic total energy, eV per atom: -1.70
Symmetry: Pm-3m (221)

The structure in Quantum ESPRESSO input format:
```
&SYSTEM
  ibrav = 0, nat = 5, ntyp = 3
/
ATOMIC_SPECIES
Au 196.97 Au.upf
Pt 195.08 Pt.upf
K 39.10 K.upf
CELL_PARAMETERS angstrom
-5.043 -1.264 -0.640
1.388 -4.882 -1.293
-0.285 -1.414 5.035
ATOMIC_POSITIONS angstrom
Au -2.521 -0.632 -0.320
Au -0.143 -0.707 2.518
Au 0.694 -2.441 -0.646
Pt -1.970 -3.780 1.551
K 0.000 0.000 0.000
```

***

Record 2
The following is a PBE calculation of crystalline K2Pt2Au at its relaxed geometry, from the Alexandria database. Values from VASP.

Computed properties:
DOS at the Fermi energy, states/eV/atom: 0.754
Electronic total energy, eV per atom: -3.58
Symmetry: P4/mbm (127)

The structure in Quantum ESPRESSO input format:
```
&SYSTEM
  ibrav = 0, nat = 10, ntyp = 3
/
ATOMIC_SPECIES
Pt 195.08 Pt.upf
K 39.10 K.upf
Au 196.97 Au.upf
CELL_PARAMETERS angstrom
-5.745 1.297 3.493
-3.402 -4.444 -3.945
1.166 -3.872 3.355
ATOMIC_POSITIONS angstrom
Pt -5.069 -3.381 -2.139
Pt -4.078 0.234 1.687
Pt -2.010 -1.466 -0.993
Pt -7.137 -1.682 0.541
K -5.245 -2.305 3.278
K -6.106 -4.717 0.794
K -1.875 -2.303 2.109
K -2.735 -4.714 -0.375
Au -4.573 -1.574 -0.226
Au 0.000 0.000 0.000
```

***

Record 3
The following is a PBE calculation of crystalline KPt2Au at its relaxed geometry, from the Alexandria database. Values from VASP.

Computed properties:
DOS at the Fermi energy, states/eV/atom: 0.199
Electronic total energy, eV per atom: -3.63
Symmetry: Fm-3m (225)

The structure in Quantum ESPRESSO input format:
```
&SYSTEM
  ibrav = 0, nat = 4, ntyp = 3
/
ATOMIC_SPECIES
Au 196.97 Au.upf
Pt 195.08 Pt.upf
K 39.10 K.upf
CELL_PARAMETERS angstrom
2.736 -1.366 3.665
-0.709 1.870 4.334
-1.847 -2.687 3.486
ATOMIC_POSITIONS angstrom
Au 0.090 -1.092 5.743
Pt 0.135 -1.638 8.614
Pt 0.045 -0.546 2.871
K 0.000 0.000 0.000
```

***

Record 4
The following is a PBE calculation of crystalline K4PtAu at its relaxed geometry, from the Alexandria database. Values from VASP.

Computed properties:
DOS at the Fermi energy, states/eV/atom: 0.279
Electronic total energy, eV per atom: -2.37
Symmetry: P4/mcc (124)

The structure in Quantum ESPRESSO input format:
```
&SYSTEM
  ibrav = 0, nat = 12, ntyp = 3
/
ATOMIC_SPECIES
Au 196.97 Au.upf
K 39.10 K.upf
Pt 195.08 Pt.upf
CELL_PARAMETERS angstrom
-0.372 5.760 -0.256
-1.089 -0.444 -8.404
-8.398 -0.493 1.114
ATOMIC_POSITIONS angstrom
Au -0.279 4.320 -0.192
Au -0.093 1.440 -0.064
K -6.662 2.190 -6.234
K -7.567 -0.697 -4.684
K -1.920 -0.240 -2.606
K -2.467 2.493 -5.514
K -3.198 2.633 -1.313
K -5.790 -0.410 -0.816
K -7.393 2.330 -2.032
K -3.697 -0.527 -6.474
Pt -5.023 3.851 -3.837
Pt -4.837 0.971 -3.709
```

***

Record 5
The following is a PBE calculation of crystalline KPt2Au at its relaxed geometry, from the Alexandria database. Values from VASP.

Computed properties:
DOS at the Fermi energy, states/eV/atom: 0.310
Electronic total energy, eV per atom: -3.95
Symmetry: R-3m (166)

The structure in Quantum ESPRESSO input format:
```
&SYSTEM
  ibrav = 0, nat = 4, ntyp = 3
/
ATOMIC_SPECIES
Pt 195.08 Pt.upf
K 39.10 K.upf
Au 196.97 Au.upf
CELL_PARAMETERS angstrom
-7.518 -4.764 5.366
-5.606 -6.927 5.347
-5.452 -4.882 7.379
ATOMIC_POSITIONS angstrom
Pt -9.400 -8.386 9.155
Pt -18.465 -16.473 17.984
K -13.932 -12.429 13.569
Au -4.644 -4.143 4.523
```

***

Record 6
The following is a PBE calculation of crystalline KPt2Au at its relaxed geometry, from the Alexandria database. Values from VASP.

Computed properties:
DOS at the Fermi energy, states/eV/atom: 0.534
Electronic total energy, eV per atom: -3.93
Symmetry: P2/m (10)

The structure in Quantum ESPRESSO input format:
```
&SYSTEM
  ibrav = 0, nat = 4, ntyp = 3
/
ATOMIC_SPECIES
Pt 195.08 Pt.upf
Au 196.97 Au.upf
K 39.10 K.upf
CELL_PARAMETERS angstrom
-1.311 1.051 4.692
-1.789 -2.118 -0.025
3.546 -4.396 1.976
ATOMIC_POSITIONS angstrom
Pt 0.820 -2.876 0.873
Pt 0.059 -0.381 0.102
Au -0.216 -1.103 2.834
K 0.662 -4.360 3.809
```

***

Record 7
The following is a PBE calculation of crystalline K4PtAu at its relaxed geometry, from the Alexandria database. Values from VASP.

Computed properties:
DOS at the Fermi energy, states/eV/atom: 0.516
Electronic total energy, eV per atom: -1.84
Symmetry: F-43m (216)

The structure in Quantum ESPRESSO input format:
```
&SYSTEM
  ibrav = 0, nat = 6, ntyp = 3
/
ATOMIC_SPECIES
Pt 195.08 Pt.upf
Au 196.97 Au.upf
K 39.10 K.upf
CELL_PARAMETERS angstrom
6.065 1.838 1.439
1.110 3.783 5.166
2.979 -2.440 5.234
ATOMIC_POSITIONS angstrom
Pt 7.615 2.385 8.879
Au 0.000 0.000 0.000
K 4.366 3.076 7.017
K 3.814 1.195 4.447
K 6.831 2.109 5.163
K 5.296 -0.019 7.050
```

***

Record 8
The following is a PBE calculation of crystalline KPtAu3 at its relaxed geometry, from the Alexandria database. Values from VASP.

Computed properties:
DOS at the Fermi energy, states/eV/atom: 0.328
Electronic total energy, eV per atom: -3.52
Symmetry: Cmcm (63)

The structure in Quantum ESPRESSO input format:
```
&SYSTEM
  ibrav = 0, nat = 10, ntyp = 3
/
ATOMIC_SPECIES
K 39.10 K.upf
Au 196.97 Au.upf
Pt 195.08 Pt.upf
CELL_PARAMETERS angstrom
5.564 0.000 0.000
0.000 5.431 -2.272
0.000 -0.164 7.234
ATOMIC_POSITIONS angstrom
K 4.173 3.171 -0.048
K 1.391 2.096 5.010
Au 1.391 2.084 1.244
Au 1.391 4.853 0.085
Au 4.173 3.183 3.718
Au 1.391 4.342 2.751
Au 4.173 0.925 2.211
Au 4.173 0.413 4.877
Pt 0.000 0.000 0.000
Pt 2.782 0.000 0.000
```

***

Record 9
The following is a PBE calculation of crystalline KPt2Au at its relaxed geometry, from the Alexandria database. Values from VASP.

Computed properties:
DOS at the Fermi energy, states/eV/atom: 0.788
Electronic total energy, eV per atom: -4.09
Symmetry: Pm (6)

The structure in Quantum ESPRESSO input format:
```
&SYSTEM
  ibrav = 0, nat = 4, ntyp = 3
/
ATOMIC_SPECIES
Au 196.97 Au.upf
K 39.10 K.upf
Pt 195.08 Pt.upf
CELL_PARAMETERS angstrom
4.487 0.000 0.000
0.000 2.776 -0.124
0.000 0.342 7.241
ATOMIC_POSITIONS angstrom
Au 0.000 1.198 3.275
K 2.244 2.678 5.350
Pt 0.000 2.475 0.722
Pt 2.244 1.104 1.203
```

***

Record 10
The following is a PBE calculation of crystalline KPtAu2 at its relaxed geometry, from the Alexandria database. Values from VASP.

Computed properties:
DOS at the Fermi energy, states/eV/atom: 0.400
Electronic total energy, eV per atom: -3.18
Symmetry: I4/mmm (139)

The structure in Quantum ESPRESSO input format:
```
&SYSTEM
  ibrav = 0, nat = 4, ntyp = 3
/
ATOMIC_SPECIES
K 39.10 K.upf
Au 196.97 Au.upf
Pt 195.08 Pt.upf
CELL_PARAMETERS angstrom
5.208 -0.008 0.000
1.462 4.998 0.000
-3.335 -2.495 3.126
ATOMIC_POSITIONS angstrom
K 0.731 2.499 1.563
Au 0.000 0.000 0.000
Au 3.335 2.495 0.000
Pt 2.604 -0.004 1.563
```

***

Record 11
The following is a PBE calculation of crystalline KPt2Au at its relaxed geometry, from the Alexandria database. Values from VASP.

Computed properties:
DOS at the Fermi energy, states/eV/atom: 0.992
Electronic total energy, eV per atom: -3.98
Symmetry: P4mm (99)

The structure in Quantum ESPRESSO input format:
```
&SYSTEM
  ibrav = 0, nat = 4, ntyp = 3
/
ATOMIC_SPECIES
Au 196.97 Au.upf
K 39.10 K.upf
Pt 195.08 Pt.upf
CELL_PARAMETERS angstrom
-1.135 -0.230 2.634
1.079 -2.658 0.233
7.841 3.505 3.683
ATOMIC_POSITIONS angstrom
Au 3.627 1.622 1.704
K 5.926 1.218 4.230
Pt 0.281 0.126 0.132
Pt 1.871 -0.595 2.325
```

***

Record 12
The following is a PBE calculation of crystalline KPtAu2 at its relaxed geometry, from the Alexandria database. Values from VASP.

Computed properties:
DOS at the Fermi energy, states/eV/atom: 0.122
Electronic total energy, eV per atom: -3.49
Symmetry: C2/m (12)

The structure in Quantum ESPRESSO input format:
```
&SYSTEM
  ibrav = 0, nat = 4, ntyp = 3
/
ATOMIC_SPECIES
Au 196.97 Au.upf
K 39.10 K.upf
Pt 195.08 Pt.upf
CELL_PARAMETERS angstrom
7.018 -0.020 -0.835
6.433 2.805 -0.835
0.852 0.176 5.651
ATOMIC_POSITIONS angstrom
Au 12.523 2.592 -0.126
Au 8.080 1.672 0.446
K 10.727 2.220 2.986
Pt 3.576 0.740 0.995
```